The following is a PBE calculation of a geometry-optimized MgMoOs structure, from Alexandria via LeMat-Bulk.

abc: 7.3100 7.1057 2.7430
angles: 83.25 74.87 21.88
Positions (direct):
1 Mo 0.3258 0.3258 0.6742
2 Mg 0.0031 0.0031 0.9969
3 Os 0.6711 0.6711 0.3289

Results
distance to the lowest polymorph of the same formula	0.2094	eV/atom
space-group type	No. 42
ΔE_f	0.287	eV per atom

The following is a PBE calculation of a geometry-optimized Tb2AlSi4Pd3 structure, from Alexandria via LeMat-Bulk.

abc: 4.0498 4.0498 10.6497
angles: 90.00 90.00 90.00
Positions (direct):
1 Pd 0.0000 0.5000 0.1296
2 Pd 0.5000 0.0000 0.8704
3 Pd 0.0000 0.0000 0.5000
4 Si 0.0000 0.5000 0.3549
5 Si 0.5000 0.5000 0.0000
6 Si 0.5000 0.0000 0.6451
7 Si 0.0000 0.0000 0.0000
8 Tb 0.0000 0.5000 0.7499
9 Tb 0.5000 0.0000 0.2501
10 Al 0.5000 0.5000 0.5000

Results
space-group type	No. 115
raw formation energy	-825	meV per atom

The following is a PBE calculation of a geometry-optimized La3CdC2N6 structure, from Alexandria via LeMat-Bulk.

abc: 5.5357 5.5357 6.5760
angles: 90.00 90.00 120.00
Positions (direct):
1 La 0.6667 0.3333 0.3394
2 La 0.3333 0.6667 0.6606
3 La 0.0000 0.0000 0.0000
4 N 0.3797 0.1899 0.7374
5 N 0.6203 0.8101 0.2626
6 N 0.1899 0.3797 0.2626
7 N 0.8101 0.6203 0.7374
8 N 0.8101 0.1899 0.7374
9 N 0.1899 0.8101 0.2626
10 C 0.6667 0.3333 0.7424
11 C 0.3333 0.6667 0.2576
12 Cd 0.0000 0.0000 0.5000

Results
space-group type	No. 164
raw formation energy	-573	meV per atom

The following is a PBE calculation of a geometry-optimized Rb2BaTlF structure, from Alexandria via LeMat-Bulk.

abc: 5.8628 5.8628 5.5588
angles: 90.00 90.00 90.00
Positions (direct):
1 Rb 0.0000 0.5000 0.0000
2 Rb 0.5000 0.0000 0.0000
3 F 0.0000 0.0000 0.0000
4 Ba 0.0000 0.0000 0.5000
5 Tl 0.5000 0.5000 0.5000

Results
distance to the lowest polymorph of the same formula	0.0000	eV/atom
space-group type	No. 123
raw formation energy	-1081	meV per atom

The following is a PBE calculation of a geometry-optimized La12P3N5 structure, from Alexandria via LeMat-Bulk.

abc: 13.8617 13.8617 13.8617
angles: 109.47 109.47 109.47
Positions (direct):
1 La 0.5953 0.9769 0.6825
2 La 0.4047 0.0231 0.3175
3 La 0.3175 0.5231 0.4047
4 La 0.6183 0.0231 0.2056
5 La 0.7056 0.1183 0.0231
6 La 0.5231 0.2056 0.1183
7 La 0.9769 0.3817 0.2944
8 La 0.7944 0.3175 0.9128
9 La 0.7056 0.5872 0.1825
10 La 0.2944 0.4128 0.8175
11 La 0.2056 0.5231 0.6183
12 La 0.5872 0.8817 0.4047
13 La 0.8175 0.9047 0.0231
14 La 0.9128 0.0953 0.6183
15 La 0.8817 0.5872 0.9047
16 La 0.4128 0.2944 0.3175
17 La 0.0872 0.9047 0.3817
18 La 0.3817 0.9769 0.7944
19 La 0.4769 0.6825 0.0953
20 La 0.6183 0.5953 0.9128
21 La 0.5231 0.3175 0.9047
22 La 0.2944 0.8817 0.9769
23 La 0.7944 0.4769 0.3817
24 La 0.0953 0.1825 0.4769
25 La 0.4128 0.1183 0.5953
26 La 0.9128 0.8175 0.7944
27 La 0.0231 0.4047 0.8175
28 La 0.9769 0.5953 0.1825
29 La 0.0872 0.1825 0.2056
30 La 0.0953 0.9128 0.1183
31 La 0.2056 0.6825 0.0872
32 La 0.1183 0.7056 0.5231
33 La 0.9047 0.0872 0.8817
34 La 0.5953 0.6183 0.4128
35 La 0.3175 0.7944 0.4128
36 La 0.4047 0.3817 0.5872
37 La 0.1825 0.0953 0.9769
38 La 0.6825 0.2056 0.5872
39 La 0.9047 0.8175 0.5231
40 La 0.5872 0.7056 0.6825
41 La 0.8175 0.9128 0.2944
42 La 0.0231 0.6183 0.7056
43 La 0.3817 0.4047 0.0872
44 La 0.8817 0.2944 0.4769
45 La 0.4769 0.7944 0.8817
46 La 0.1825 0.0872 0.7056
47 La 0.1183 0.4128 0.0953
48 La 0.6825 0.4769 0.5953
49 N 0.3750 0.2500 0.1250
50 N 0.5000 0.0000 0.5000
51 N 0.7500 0.6250 0.3750
52 N 0.1250 0.7500 0.3750
53 N 0.2500 0.3750 0.6250
54 N 0.1250 0.3750 0.2500
55 N 0.0000 0.0000 0.0000
56 N 0.8750 0.6250 0.7500
57 N 0.6250 0.7500 0.8750
58 N 0.0000 0.5000 0.5000
59 N 0.5000 0.5000 0.5000
60 N 0.5000 0.0000 0.0000
61 N 0.0000 0.5000 0.0000
62 N 0.0000 0.0000 0.5000
63 N 0.8750 0.2500 0.6250
64 N 0.7500 0.1250 0.8750
65 N 0.5000 0.5000 0.0000
66 N 0.2500 0.8750 0.1250
67 N 0.3750 0.1250 0.7500
68 N 0.6250 0.8750 0.2500
69 P 0.2500 0.1250 0.3750
70 P 0.1250 0.2500 0.8750
71 P 0.7500 0.3750 0.1250
72 P 0.3750 0.7500 0.6250
73 P 0.7500 0.8750 0.6250
74 P 0.6250 0.3750 0.7500
75 P 0.8750 0.7500 0.1250
76 P 0.2500 0.6250 0.8750
77 P 0.1250 0.8750 0.7500
78 P 0.6250 0.2500 0.3750
79 P 0.3750 0.6250 0.2500
80 P 0.8750 0.1250 0.2500

Results
space-group type	No. 230
raw formation energy	-1048	meV per atom

The following is a PBE calculation of a geometry-optimized Y2BeAlSi structure, from Alexandria via LeMat-Bulk.

abc: 5.0880 4.2530 5.0880
angles: 90.00 90.00 90.00
Positions (direct):
1 Y 0.5000 0.0000 0.0000
2 Y 0.0000 0.0000 0.5000
3 Be 0.0000 0.0000 0.0000
4 Al 0.0000 0.5000 0.0000
5 Si 0.5000 0.5000 0.5000

Results
space-group type	No. 123
raw formation energy	-24	meV per atom

Number 1: total magnetization 0.00 μB/cell, uncorrected energy -7.598 eV/atom. Number 2: total magnetization 0.00 μB/cell, uncorrected energy -5.853 eV/atom. Number 3: total magnetization 0.00 μB/cell, uncorrected energy -7.581 eV/atom. Number 4: total magnetization 0.00 μB/cell, uncorrected energy -2.700 eV/atom. Number 5: total magnetization 0.12 μB/cell, uncorrected energy -6.897 eV/atom. Number 6: total magnetization 0.00 μB/cell, uncorrected energy -5.188 eV/atom.